Entry 1:
A crystal of Na2BPb relaxed with PBEsol, computed with SCAN.

Cell lengths 4.9035, 4.9035, 4.9035 Å; angles 60.00, 60.00, 60.00 degrees
Positions (direct):
Na1 0.2500 0.2500 0.2500
Na2 0.7500 0.7500 0.7500
B1 0.0000 0.0000 0.0000
Pb1 0.5000 0.5000 0.5000

Output
- ΔE_f: 0.7582 eV per atom
- Fermi-level density of states: 1.8 states/eV/f.u.
- Total magnetic moment: 0.00 Bohr magnetons per cell
- Space group: Fm-3m



Entry 2:
A crystal of FeNiP relaxed with PBEsol, computed with SCAN.

Cell lengths 3.7674, 3.7674, 3.7674 Å; angles 60.00, 60.00, 60.00 degrees
Positions (direct):
Fe1 0.0000 0.0000 0.0000
Ni1 0.7500 0.7500 0.7500
P1 0.5000 0.5000 0.5000

Output
- ΔE_f: -0.2094 eV per atom
- Fermi-level density of states: 2.4 states/eV/f.u.
- Total magnetic moment: 4.06 Bohr magnetons per cell
- Space group: F-43m



Entry 3:
A crystal of Fe2Tc relaxed with PBEsol, computed with SCAN.

Cell lengths 4.0574, 4.0574, 2.4971 Å; angles 90.00, 90.00, 120.00 degrees
Positions (direct):
Fe1 0.3333 0.6667 0.1268
Fe2 0.6667 0.3333 0.8732
Tc1 0.0000 0.0000 0.5000

Output
- ΔE_f: 0.0397 eV per atom
- Fermi-level density of states: 2.2 states/eV/f.u.
- ΔE to the lowest computed polymorph: 34.2 meV per atom
- Total magnetic moment: 4.59 Bohr magnetons per cell
- Space group: P-3m1